# 1
VASP calculation (PBE) on a geometry-optimized Tb3Dy3TmTe8 structure.

```
15
Lattice="8.686 0.000 0.000 -4.343 7.523 -0.026 0.000 -4.991 7.113" Properties=species:S:1:pos:R:3 pbc="T T T"
Tb 0.000 0.000 0.000
Tb -2.172 3.761 -0.013
Tb 2.172 3.761 -0.013
Dy 4.343 -2.495 3.556
Dy 2.172 1.266 3.543
Dy -2.172 1.266 3.543
Tm 0.000 -2.495 3.556
Te 0.000 2.514 1.776
Te 4.343 0.018 5.311
Te 4.343 2.480 1.752
Te 0.000 0.052 5.335
Te 6.485 -1.231 1.765
Te -2.142 3.763 5.322
Te 2.201 -1.231 1.765
Te 2.142 3.763 5.322
```

The calculation puts the energy relative to the elements, uncorrected at -1.36 eV/atom. The space-group type is R-3m.


# 2
VASP calculation (PBE) on a geometry-optimized La2Pm3SmP6 structure.

```
12
Lattice="-3.620 -1.937 -0.775 3.921 -5.250 -5.185 2.343 -3.249 8.435" Properties=species:S:1:pos:R:3 pbc="T T T"
La 1.167 -7.297 1.526
La 1.477 -3.140 0.948
Pm 0.150 -3.594 -2.980
Pm -0.804 -4.653 4.120
Pm 3.448 -5.783 -1.645
Sm -1.810 -0.969 -0.388
P 3.969 -7.656 0.598
P 0.667 -5.443 -0.773
P -1.325 -2.780 1.876
P -0.307 -6.474 6.348
P 2.950 -3.963 -3.874
P 1.977 -4.993 3.247
```

As for the formation energy: -151 kJ per mole of atoms. The space-group type is C2/m.